# 1
Entry from Alexandria: an optimized crystal structure of LiZnPH2O5 (PBE).

Calculated values
- Electronic total energy: -232.5 eV per cell
- Space-group type: Pna2_1

Geometry as POSCAR:
```
LiZnPH2O5
1.0
10.924 0.000 0.000
0.000 8.109 0.000
0.000 0.000 5.089
Li Zn P H O
4 4 4 8 20
direct
0.191 0.192 0.000
0.309 0.692 0.500
0.691 0.308 0.000
0.809 0.808 0.500
0.127 0.383 0.501
0.373 0.883 0.001
0.627 0.117 0.501
0.873 0.617 0.001
0.163 0.596 0.005
0.337 0.096 0.505
0.663 0.904 0.005
0.837 0.404 0.505
0.022 0.823 0.377
0.022 0.998 0.852
0.478 0.323 0.877
0.478 0.498 0.352
0.522 0.502 0.852
0.522 0.677 0.377
0.978 0.002 0.352
0.978 0.177 0.877
0.022 0.091 0.977
0.041 0.683 0.076
0.164 0.419 0.127
0.182 0.579 0.703
0.231 0.198 0.625
0.269 0.698 0.125
0.318 0.079 0.203
0.336 0.919 0.627
0.459 0.183 0.576
0.478 0.591 0.477
0.522 0.409 0.977
0.541 0.817 0.076
0.664 0.081 0.127
0.682 0.921 0.703
0.731 0.302 0.625
0.769 0.802 0.125
0.818 0.421 0.203
0.836 0.581 0.627
0.959 0.317 0.576
0.978 0.909 0.477
```

=====

# 2
Entry from Alexandria: an optimized crystal structure of LiZnP2HO7 (PBE).

Calculated values
- Electronic total energy: -609.8 eV per cell
- Space-group type: Pca2_1

Geometry as POSCAR:
```
LiZnP2HO7
1.0
13.622 0.000 0.000
0.000 5.110 0.000
0.000 0.000 16.238
Li Zn P H O
8 8 16 8 56
direct
0.053 0.093 0.000
0.241 0.307 0.738
0.259 0.307 0.238
0.447 0.093 0.500
0.553 0.907 0.000
0.741 0.693 0.738
0.759 0.693 0.238
0.947 0.907 0.500
0.053 0.089 0.662
0.240 0.320 0.921
0.260 0.320 0.421
0.447 0.089 0.162
0.553 0.911 0.662
0.740 0.680 0.921
0.760 0.680 0.421
0.947 0.911 0.162
0.066 0.029 0.329
0.141 0.829 0.831
0.143 0.599 0.086
0.149 0.593 0.571
0.351 0.593 0.071
0.357 0.599 0.586
0.359 0.829 0.331
0.434 0.029 0.829
0.566 0.971 0.329
0.641 0.171 0.831
0.643 0.401 0.086
0.649 0.407 0.571
0.851 0.407 0.071
0.857 0.401 0.586
0.859 0.171 0.331
0.934 0.971 0.829
0.095 0.710 0.427
0.108 0.613 0.215
0.392 0.613 0.715
0.405 0.710 0.927
0.595 0.290 0.427
0.608 0.387 0.215
0.892 0.387 0.715
0.905 0.290 0.927
0.022 0.762 0.835
0.049 0.859 0.409
0.050 0.862 0.251
0.063 0.801 0.077
0.067 0.794 0.583
0.139 0.478 0.177
0.146 0.380 0.024
0.148 0.497 0.480
0.150 0.373 0.635
0.156 0.982 0.751
0.161 0.177 0.330
0.161 0.986 0.910
0.190 0.560 0.830
0.247 0.749 0.083
0.253 0.749 0.583
0.310 0.560 0.330
0.339 0.177 0.830
0.339 0.986 0.410
0.344 0.982 0.251
0.350 0.373 0.135
0.352 0.497 0.980
0.354 0.380 0.524
0.361 0.478 0.677
0.433 0.794 0.083
0.437 0.801 0.577
0.450 0.862 0.751
0.451 0.859 0.909
0.478 0.762 0.335
0.522 0.238 0.835
0.549 0.141 0.409
0.550 0.138 0.251
0.563 0.199 0.077
0.567 0.206 0.583
0.639 0.522 0.177
0.646 0.620 0.024
0.648 0.503 0.480
0.650 0.627 0.635
0.656 0.018 0.751
0.661 0.014 0.910
0.661 0.823 0.330
0.690 0.440 0.830
0.747 0.251 0.083
0.753 0.251 0.583
0.810 0.440 0.330
0.839 0.014 0.410
0.839 0.823 0.830
0.844 0.018 0.251
0.850 0.627 0.135
0.852 0.503 0.980
0.854 0.620 0.524
0.861 0.522 0.677
0.933 0.206 0.083
0.937 0.199 0.577
0.950 0.138 0.751
0.951 0.141 0.909
0.978 0.238 0.335
```

=====

# 3
Entry from Alexandria: an optimized crystal structure of LiPa2HO6 (PBE).

Calculated values
- Electronic total energy: -80.1 eV per cell
- Space-group type: P4mm

Geometry as POSCAR:
```
LiPa2HO6
1.0
5.137 0.000 0.000
0.000 5.137 0.000
0.000 0.000 4.857
Li Pa H O
1 2 1 6
direct
0.000 0.000 0.000
0.000 0.500 0.398
0.500 0.000 0.398
0.500 0.500 0.826
0.000 0.000 0.608
0.251 0.251 0.177
0.251 0.749 0.177
0.500 0.500 0.623
0.749 0.251 0.177
0.749 0.749 0.177
```

=====

# 4
Entry from Alexandria: an optimized crystal structure of LiHPd2O (PBE).

Calculated values
- Electronic total energy: -17.7 eV per cell
- Space-group type: P4/mmm

Geometry as POSCAR:
```
LiHPd2O
1.0
4.384 0.000 0.000
0.000 4.384 0.000
0.000 0.000 3.248
Li H Pd O
1 1 2 1
direct
0.000 0.000 0.000
0.500 0.500 0.500
0.000 0.500 0.000
0.500 0.000 0.000
0.000 0.000 0.500
```

=====

# 5
Entry from Alexandria: an optimized crystal structure of LiHPtO2 (PBE).

Calculated values
- Electronic total energy: -19.8 eV per cell
- Space-group type: P4/mmm

Geometry as POSCAR:
```
LiHPtO2
1.0
3.716 0.000 0.000
0.000 3.716 0.000
0.000 0.000 3.091
Li H Pt O
1 1 1 2
direct
0.000 0.000 0.000
0.000 0.000 0.500
0.500 0.500 0.500
0.000 0.500 0.000
0.500 0.000 0.000
```

=====

# 6
Entry from Alexandria: an optimized crystal structure of Li2PuHO4 (PBE).

Calculated values
- Electronic total energy: -58.1 eV per cell
- Space-group type: P2/m

Geometry as POSCAR:
```
Li2PuHO4
1.0
4.908 0.000 0.000
0.000 3.439 0.000
-0.370 0.000 5.482
Li Pu H O
2 1 1 4
direct
0.000 0.000 0.000
0.500 0.500 0.000
0.000 0.500 0.500
0.500 0.000 0.500
0.174 0.500 0.827
0.273 0.000 0.383
0.727 0.000 0.617
0.826 0.500 0.173
```

=====

# 7
Entry from Alexandria: an optimized crystal structure of LiReH2O (PBE).

Calculated values
- Electronic total energy: -22.5 eV per cell
- Space-group type: P4/mmm

Geometry as POSCAR:
```
LiReH2O
1.0
3.336 0.000 0.000
0.000 3.336 0.000
0.000 0.000 5.663
Li Re H O
1 1 2 1
direct
0.000 0.000 0.000
0.000 0.000 0.500
0.000 0.500 0.500
0.500 0.000 0.500
0.500 0.500 0.000
```

=====

# 8
Entry from Alexandria: an optimized crystal structure of Li4H7RhS3O13 (PBE).

Calculated values
- Electronic total energy: -149.0 eV per cell
- Space-group type: R3

Geometry as POSCAR:
```
Li4H7RhS3O13
1.0
4.234 2.445 4.833
-4.234 2.445 4.833
0.000 -4.889 4.833
Li H Rh S O
4 7 1 3 13
direct
0.000 0.000 0.000
0.207 0.829 0.591
0.591 0.207 0.829
0.829 0.591 0.207
0.100 0.160 0.572
0.160 0.572 0.100
0.272 0.483 0.348
0.348 0.272 0.483
0.483 0.348 0.272
0.572 0.100 0.160
0.779 0.779 0.779
0.197 0.197 0.197
0.420 0.783 0.995
0.783 0.995 0.420
0.995 0.420 0.783
0.111 0.493 0.236
0.181 0.314 0.888
0.236 0.111 0.493
0.248 0.814 0.874
0.314 0.888 0.181
0.408 0.408 0.408
0.493 0.236 0.111
0.582 0.908 0.856
0.814 0.874 0.248
0.856 0.582 0.908
0.874 0.248 0.814
0.888 0.181 0.314
0.908 0.856 0.582
```

=====

# 9
Entry from Alexandria: an optimized crystal structure of Li2H2SO5 (PBE).

Calculated values
- Electronic total energy: -111.9 eV per cell
- Space-group type: P2_1

Geometry as POSCAR:
```
Li2H2SO5
1.0
5.558 0.000 0.000
0.000 4.904 0.000
-2.447 0.000 7.916
Li H S O
4 4 2 10
direct
0.061 0.000 0.395
0.196 0.486 0.007
0.804 0.986 0.993
0.939 0.500 0.605
0.471 0.130 0.318
0.490 0.387 0.546
0.510 0.887 0.454
0.529 0.630 0.682
0.206 0.984 0.791
0.794 0.484 0.209
0.068 0.874 0.621
0.099 0.860 0.920
0.171 0.286 0.790
0.415 0.056 0.412
0.476 0.912 0.830
0.524 0.412 0.170
0.585 0.556 0.588
0.829 0.786 0.210
0.901 0.360 0.080
0.932 0.374 0.379
```

=====

# 10
Entry from Alexandria: an optimized crystal structure of LiH2SO4 (PBE).

Calculated values
- Electronic total energy: -350.6 eV per cell
- Space-group type: Pnma

Geometry as POSCAR:
```
LiH2SO4
1.0
6.132 0.000 0.000
0.000 10.611 0.000
0.000 0.000 10.218
Li H S O
8 16 8 32
direct
0.057 0.075 0.166
0.057 0.425 0.166
0.443 0.575 0.666
0.443 0.925 0.666
0.557 0.075 0.334
0.557 0.425 0.334
0.943 0.575 0.834
0.943 0.925 0.834
0.203 0.107 0.749
0.203 0.393 0.749
0.210 0.549 0.380
0.210 0.951 0.380
0.290 0.049 0.880
0.290 0.451 0.880
0.297 0.607 0.249
0.297 0.893 0.249
0.703 0.107 0.751
0.703 0.393 0.751
0.710 0.549 0.120
0.710 0.951 0.120
0.790 0.049 0.620
0.790 0.451 0.620
0.797 0.607 0.251
0.797 0.893 0.251
0.039 0.750 0.591
0.241 0.750 0.032
0.259 0.250 0.532
0.461 0.250 0.091
0.539 0.750 0.909
0.741 0.750 0.468
0.759 0.250 0.968
0.961 0.250 0.409
0.039 0.250 0.271
0.126 0.633 0.000
0.126 0.867 0.000
0.151 0.633 0.555
0.151 0.867 0.555
0.167 0.250 0.666
0.234 0.026 0.793
0.234 0.474 0.793
0.266 0.526 0.293
0.266 0.974 0.293
0.333 0.750 0.166
0.349 0.133 0.055
0.349 0.367 0.055
0.374 0.133 0.500
0.374 0.367 0.500
0.461 0.750 0.771
0.539 0.250 0.229
0.626 0.633 0.500
0.626 0.867 0.500
0.651 0.633 0.945
0.651 0.867 0.945
0.667 0.250 0.834
0.734 0.026 0.707
0.734 0.474 0.707
0.766 0.526 0.207
0.766 0.974 0.207
0.833 0.750 0.334
0.849 0.133 0.445
0.849 0.367 0.445
0.874 0.133 0.000
0.874 0.367 0.000
0.961 0.750 0.729
```

=====

# 11
Entry from Alexandria: an optimized crystal structure of Li2HSO4 (PBE).

Calculated values
- Electronic total energy: -78.3 eV per cell
- Space-group type: C2/c

Geometry as POSCAR:
```
Li2HSO4
1.0
4.309 -3.228 0.000
4.309 3.228 0.000
-3.455 0.000 5.350
Li H S O
4 2 2 8
direct
0.000 0.000 0.000
0.000 0.000 0.500
0.000 0.500 0.000
0.500 0.000 0.500
0.500 0.500 0.000
0.500 0.500 0.500
0.000 0.500 0.500
0.500 0.000 0.000
0.161 0.200 0.429
0.200 0.161 0.929
0.255 0.629 0.479
0.371 0.745 0.021
0.629 0.255 0.979
0.745 0.371 0.521
0.800 0.839 0.071
0.839 0.800 0.571
```